[1]
This record from Alexandria via LeMat-Bulk describes a geometry-optimized BaTaNb2N structure. The functional is GGA-PBEsol. Values from VASP.

Results
calculated density: 7.760 Mg/m³
raw formation energy: 2.836 eV per atom
symmetry: P4/mmm, No. 123

```
&SYSTEM
  ibrav = 0, nat = 5, ntyp = 4
/
ATOMIC_SPECIES
Ba 137.33 Ba.upf
Ta 180.95 Ta.upf
Nb 92.91 Nb.upf
N 14.01 N.upf
CELL_PARAMETERS angstrom
5.189 0.000 0.000
0.000 5.189 0.000
0.000 0.000 4.117
ATOMIC_POSITIONS crystal
Ba 0.000 0.000 0.000
Ta 0.500 0.500 0.500
Nb 0.000 0.500 0.000
Nb 0.500 0.000 0.000
N 0.000 0.000 0.500
```



[2]
This record from Alexandria via LeMat-Bulk describes a geometry-optimized SrCaH2 structure. The functional is GGA-PBEsol. Values from VASP.

Results
calculated density: 2.539 Mg/m³
symmetry: I-42d, No. 122

```
&SYSTEM
  ibrav = 0, nat = 8, ntyp = 3
/
ATOMIC_SPECIES
Sr 87.62 Sr.upf
Ca 40.08 Ca.upf
H 1.01 H.upf
CELL_PARAMETERS angstrom
-2.764 2.764 5.551
2.764 -2.764 5.551
2.764 2.764 -5.551
ATOMIC_POSITIONS crystal
Sr 0.000 0.000 0.000
Sr 0.750 0.250 0.500
Ca 0.250 0.750 0.500
Ca 0.500 0.500 0.000
H 0.148 0.625 0.023
H 0.375 0.398 0.523
H 0.602 0.125 0.977
H 0.875 0.852 0.477
```



[3]
This record from Alexandria via LeMat-Bulk describes a geometry-optimized LiF structure. The functional is GGA-PBEsol. Values from VASP.

Results
calculated density: 2.701 Mg/m³
distance to the lowest polymorph of the same formula: 0.0 kJ per mole of atoms
raw formation energy: -2.979 eV per atom
symmetry: Fm-3m, No. 225

```
&SYSTEM
  ibrav = 0, nat = 2, ntyp = 2
/
ATOMIC_SPECIES
Li 6.94 Li.upf
F 19.00 F.upf
CELL_PARAMETERS angstrom
0.000 1.998 1.998
1.998 0.000 1.998
1.998 1.998 0.000
ATOMIC_POSITIONS crystal
Li 0.000 0.000 0.000
F 0.500 0.500 0.500
```



[4]
This record from Alexandria via LeMat-Bulk describes a geometry-optimized K2SbPt structure. The functional is GGA-PBEsol. Values from VASP.

Results
calculated density: 5.138 Mg/m³
raw formation energy: -0.277 eV per atom
symmetry: Imm2, No. 44

```
&SYSTEM
  ibrav = 0, nat = 4, ntyp = 3
/
ATOMIC_SPECIES
K 39.10 K.upf
Sb 121.76 Sb.upf
Pt 195.08 Pt.upf
CELL_PARAMETERS angstrom
-2.212 2.862 5.042
2.212 -2.862 5.042
2.212 2.862 -5.042
ATOMIC_POSITIONS crystal
K 0.000 0.000 0.000
K 0.693 0.193 0.500
Sb 0.407 0.407 0.000
Pt 0.290 0.790 0.500
```



[5]
This record from Alexandria via LeMat-Bulk describes a geometry-optimized TlReAs structure. The functional is GGA-PBEsol. Values from VASP.

Results
calculated density: 12.677 Mg/m³
symmetry: F-43m, No. 216
ΔH_f (0 K): 898.3 meV/atom

```
&SYSTEM
  ibrav = 0, nat = 3, ntyp = 3
/
ATOMIC_SPECIES
Tl 204.38 Tl.upf
Re 186.21 Re.upf
As 74.92 As.upf
CELL_PARAMETERS angstrom
0.000 3.124 3.124
3.124 0.000 3.124
3.124 3.124 0.000
ATOMIC_POSITIONS crystal
Tl 0.000 0.000 0.000
Re 0.750 0.750 0.750
As 0.500 0.500 0.500
```



[6]
This record from Alexandria via LeMat-Bulk describes a geometry-optimized K2LiH6N3 structure. The functional is GGA-PBEsol. Values from VASP.

Results
calculated density: 1.654 Mg/m³
symmetry: P4_2/m, No. 84

```
&SYSTEM
  ibrav = 0, nat = 48, ntyp = 4
/
ATOMIC_SPECIES
K 39.10 K.upf
Li 6.94 Li.upf
H 1.01 H.upf
N 14.01 N.upf
CELL_PARAMETERS angstrom
6.783 0.000 0.000
0.000 6.783 0.000
0.000 0.000 11.628
ATOMIC_POSITIONS crystal
K 0.000 0.000 0.000
K 0.000 0.000 0.500
K 0.000 0.500 0.150
K 0.000 0.500 0.850
K 0.500 0.000 0.350
K 0.500 0.000 0.650
K 0.500 0.500 0.250
K 0.500 0.500 0.750
Li 0.350 0.363 0.500
Li 0.363 0.650 0.000
Li 0.637 0.350 0.000
Li 0.650 0.637 0.500
H 0.058 0.345 0.373
H 0.058 0.345 0.627
H 0.159 0.184 0.289
H 0.159 0.184 0.711
H 0.184 0.841 0.211
H 0.184 0.841 0.789
H 0.261 0.674 0.431
H 0.261 0.674 0.569
H 0.326 0.261 0.069
H 0.326 0.261 0.931
H 0.345 0.942 0.127
H 0.345 0.942 0.873
H 0.655 0.058 0.127
H 0.655 0.058 0.873
H 0.674 0.739 0.069
H 0.674 0.739 0.931
H 0.739 0.326 0.431
H 0.739 0.326 0.569
H 0.816 0.159 0.211
H 0.816 0.159 0.789
H 0.841 0.816 0.289
H 0.841 0.816 0.711
H 0.942 0.655 0.373
H 0.942 0.655 0.627
N 0.194 0.287 0.351
N 0.194 0.287 0.649
N 0.287 0.806 0.149
N 0.287 0.806 0.851
N 0.297 0.352 0.000
N 0.352 0.703 0.500
N 0.648 0.297 0.500
N 0.703 0.648 0.000
N 0.713 0.194 0.149
N 0.713 0.194 0.851
N 0.806 0.713 0.351
N 0.806 0.713 0.649
```



Going through the records in order, we get DFT total energy values of -6.14 -2.90 -4.93 -3.72 -6.12 -4.59 eV/atom.